The following is a PBE calculation of RhAuBr2 after structural relaxation, from the Alexandria database.

```
RhAuBr2
1.0
3.982 0.000 0.000
-1.991 3.449 0.000
0.000 0.000 23.228
Rh Au Br
3 3 6
Direct
0.000 0.000 0.000 Rh
0.333 0.667 0.667 Rh
0.667 0.333 0.333 Rh
0.000 0.000 0.500 Au
0.333 0.667 0.167 Au
0.667 0.333 0.833 Au
0.000 0.000 0.394 Br
0.000 0.000 0.606 Br
0.333 0.667 0.060 Br
0.333 0.667 0.273 Br
0.667 0.333 0.727 Br
0.667 0.333 0.940 Br
```

The calculation puts the energy relative to the elements, uncorrected at 0.23 eV/atom. As for the calculated volume: 106 Å³/f.u. For the relative energy among the computed polymorphs, the calculation gives 204 meV/atom. As for the theoretical density: 7.178 g cm⁻³.



The following is a PBE calculation of TmGa2Ni4 after structural relaxation, from the Alexandria database.

```
TmGa2Ni4
1.0
7.182 0.000 0.000
0.000 7.182 0.000
0.000 0.000 3.844
Tm Ga Ni
2 4 8
Direct
0.000 0.000 0.000 Tm
0.500 0.500 0.500 Tm
0.219 0.219 0.500 Ga
0.281 0.719 0.000 Ga
0.719 0.281 0.000 Ga
0.781 0.781 0.500 Ga
0.091 0.649 0.500 Ni
0.149 0.409 0.000 Ni
0.351 0.909 0.500 Ni
0.409 0.149 0.000 Ni
0.591 0.851 0.000 Ni
0.649 0.091 0.500 Ni
0.851 0.591 0.000 Ni
0.909 0.351 0.500 Ni
```

As for the calculated volume: 99 Å³/f.u. The value obtained for the formation energy is -454 meV/atom. As for the theoretical density: 9.098 g cm⁻³.



The following is a PBE calculation of V5Fe3H12 after structural relaxation, from the Alexandria database.

```
V5Fe3H12
1.0
-5.162 5.162 5.162
5.162 -5.162 5.162
5.162 5.162 -5.162
V Fe H
20 12 48
Direct
0.000 0.000 0.000 V
0.000 0.000 0.500 V
0.000 0.500 0.000 V
0.000 0.500 0.500 V
0.125 0.750 0.875 V
0.125 0.875 0.250 V
0.250 0.125 0.875 V
0.250 0.625 0.375 V
0.375 0.250 0.625 V
0.375 0.625 0.750 V
0.500 0.000 0.000 V
0.500 0.000 0.500 V
0.500 0.500 0.000 V
0.500 0.500 0.500 V
0.625 0.375 0.250 V
0.625 0.750 0.375 V
0.750 0.375 0.625 V
0.750 0.875 0.125 V
0.875 0.125 0.750 V
0.875 0.250 0.125 V
0.125 0.250 0.375 Fe
0.125 0.375 0.750 Fe
0.250 0.375 0.125 Fe
0.250 0.875 0.625 Fe
0.375 0.125 0.250 Fe
0.375 0.750 0.125 Fe
0.625 0.250 0.875 Fe
0.625 0.875 0.750 Fe
0.750 0.125 0.375 Fe
0.750 0.625 0.875 Fe
0.875 0.625 0.250 Fe
0.875 0.750 0.625 Fe
0.066 0.225 0.150 H
0.066 0.340 0.915 H
0.075 0.725 0.660 H
0.075 0.850 0.415 H
0.085 0.650 0.425 H
0.085 0.934 0.660 H
0.150 0.066 0.225 H
0.150 0.585 0.925 H
0.160 0.225 0.575 H
0.160 0.434 0.585 H
0.225 0.150 0.066 H
0.225 0.575 0.160 H
0.275 0.340 0.925 H
0.275 0.434 0.350 H
0.340 0.915 0.066 H
0.340 0.925 0.275 H
0.350 0.275 0.434 H
0.350 0.575 0.915 H
0.415 0.075 0.850 H
0.415 0.840 0.566 H
0.425 0.085 0.650 H
0.425 0.840 0.775 H
0.434 0.350 0.275 H
0.434 0.585 0.160 H
0.566 0.415 0.840 H
0.566 0.650 0.725 H
0.575 0.160 0.225 H
0.575 0.915 0.350 H
0.585 0.160 0.434 H
0.585 0.925 0.150 H
0.650 0.425 0.085 H
0.650 0.725 0.566 H
0.660 0.075 0.725 H
0.660 0.085 0.934 H
0.725 0.566 0.650 H
0.725 0.660 0.075 H
0.775 0.425 0.840 H
0.775 0.850 0.934 H
0.840 0.566 0.415 H
0.840 0.775 0.425 H
0.850 0.415 0.075 H
0.850 0.934 0.775 H
0.915 0.066 0.340 H
0.915 0.350 0.575 H
0.925 0.150 0.585 H
0.925 0.275 0.340 H
0.934 0.660 0.085 H
0.934 0.775 0.850 H
```

As for the calculated volume: 138 Å³/f.u. As for the theoretical density: 5.242 g cm⁻³. The calculation puts the total DFT energy (no corrections) at -5.52 eV per atom.



The following is a PBE calculation of ZrTi3Tc after structural relaxation, from the Alexandria database.

```
ZrTi3Tc
1.0
4.689 0.000 0.000
0.000 4.689 0.000
0.000 0.000 4.689
Zr Ti Tc
1 3 1
Direct
0.000 0.000 0.000 Zr
0.000 0.500 0.500 Ti
0.500 0.000 0.500 Ti
0.500 0.500 0.000 Ti
0.500 0.500 0.500 Tc
```

As for the calculated volume: 103 Å³/f.u. The value obtained for the formation energy is 381 meV/atom. For the relative energy among the computed polymorphs, the calculation gives 419 meV/atom. As for the theoretical density: 5.361 g cm⁻³.



The following is a PBE calculation of Li3Al2Cu3 after structural relaxation, from the Alexandria database.

```
Li3Al2Cu3
1.0
2.111 1.219 6.893
-2.111 1.219 6.893
0.000 -2.438 6.893
Li Al Cu
3 2 3
Direct
0.000 0.000 0.000 Li
0.128 0.128 0.128 Li
0.501 0.501 0.501 Li
0.255 0.255 0.255 Al
0.747 0.747 0.747 Al
0.376 0.376 0.376 Cu
0.625 0.625 0.625 Cu
0.875 0.875 0.875 Cu
```

As for the calculated volume: 106 Å³/f.u. The value obtained for the formation energy is -204 meV/atom. As for the theoretical density: 4.140 g cm⁻³.



The following is a PBE calculation of BeCo2NiH after structural relaxation, from the Alexandria database.

```
BeCo2NiH
1.0
3.462 0.000 0.000
0.000 3.462 0.000
0.000 0.000 3.559
Be Co Ni H
1 2 1 1
Direct
0.000 0.000 0.000 Be
0.000 0.500 0.500 Co
0.500 0.000 0.500 Co
0.500 0.500 0.000 Ni
0.000 0.000 0.500 H
```

As for the calculated volume: 43 Å³/f.u. For the relative energy among the computed polymorphs, the calculation gives 55 meV/atom. As for the theoretical density: 7.263 g cm⁻³.



The following is a PBE calculation of ZnSiNi after structural relaxation, from the Alexandria database.

```
ZnSiNi
1.0
3.122 0.000 0.000
0.000 3.122 0.000
0.000 0.000 7.808
Zn Si Ni
2 2 2
Direct
0.000 0.000 0.000 Zn
0.500 0.500 0.500 Zn
0.000 0.000 0.316 Si
0.500 0.500 0.816 Si
0.000 0.000 0.678 Ni
0.500 0.500 0.178 Ni
```

The calculation puts the energy relative to the elements, uncorrected at -0.15 eV/atom. As for the calculated volume: 38 Å³/f.u. As for the theoretical density: 6.642 g cm⁻³.



The following is a PBE calculation of ZrIrCl3 after structural relaxation, from the Alexandria database.

```
ZrIrCl3
1.0
4.813 0.000 0.000
0.000 4.813 0.000
0.000 0.000 4.813
Zr Ir Cl
1 1 3
Direct
0.000 0.000 0.000 Zr
0.500 0.500 0.500 Ir
0.000 0.500 0.500 Cl
0.500 0.000 0.500 Cl
0.500 0.500 0.000 Cl
```

The calculation puts the energy relative to the elements, uncorrected at 0.36 eV/atom. As for the calculated volume: 112 Å³/f.u. As for the theoretical density: 5.805 g cm⁻³.